Run w
Entry from the Alexandria database: a relaxed structure of Ir3Ru2Rh2 (GGA-PBE).

Values from the calculation:
ρ = 16.1 g/cm³

Cell and atoms, written as CIF:
```
data_Ir3Ru2Rh2
_symmetry_space_group_name_H-M 'C m m m'
_symmetry_Int_Tables_number 65
_symmetry_space_group_name_Hall '-C 2 2'
_cell_length_a 3.911
_cell_length_b 19.113
_cell_length_c 2.713
_cell_angle_alpha 90.00
_cell_angle_beta 90.00
_cell_angle_gamma 90.00
loop_
_atom_site_label
_atom_site_type_symbol
_atom_site_fract_x
_atom_site_fract_y
_atom_site_fract_z
Ir1 Ir 0.000 0.000 0.000
Ir2 Ir 0.000 0.429 0.500
Ru1 Ru 0.000 0.142 0.000
Rh1 Rh 0.000 0.292 0.500
```


Run x
Entry from the Alexandria database: a relaxed structure of Ir3Ru2Rh2 (GGA-PBE).

Values from the calculation:
ρ = 15.1 g/cm³

Cell and atoms, written as CIF:
```
data_Ir3Ru2Rh2
_symmetry_space_group_name_H-M 'P -1'
_symmetry_Int_Tables_number 2
_symmetry_space_group_name_Hall '-P 1'
_cell_length_a 3.795
_cell_length_b 3.848
_cell_length_c 7.890
_cell_angle_alpha 75.91
_cell_angle_beta 76.11
_cell_angle_gamma 90.00
loop_
_atom_site_label
_atom_site_type_symbol
_atom_site_fract_x
_atom_site_fract_y
_atom_site_fract_z
Ir1 Ir 0.000 0.000 0.000
Ir2 Ir 0.255 0.255 0.491
Ru1 Ru 0.378 0.880 0.242
Rh1 Rh 0.119 0.618 0.763
```


Which one sits at the bottom of the stability order? run x does.


Run w
Entry from the Alexandria database: a relaxed structure of Ir3RuRh4 (GGA-PBE).

Values from the calculation:
ρ = 15.4 g/cm³

Cell and atoms, written as CIF:
```
data_Ir3RuRh4
_symmetry_space_group_name_H-M 'I m m m'
_symmetry_Int_Tables_number 71
_symmetry_space_group_name_Hall '-I 2 2'
_cell_length_a 2.673
_cell_length_b 8.924
_cell_length_c 9.871
_cell_angle_alpha 90.00
_cell_angle_beta 90.00
_cell_angle_gamma 90.00
loop_
_atom_site_label
_atom_site_type_symbol
_atom_site_fract_x
_atom_site_fract_y
_atom_site_fract_z
Ir1 Ir 0.000 0.000 0.000
Ir2 Ir 0.000 0.500 0.228
Ru1 Ru 0.000 0.000 0.500
Rh1 Rh 0.000 0.254 0.370
```


Run x
Entry from the Alexandria database: a relaxed structure of Ir3RuRh4 (GGA-PBE).

Values from the calculation:
ρ = 14.4 g/cm³

Cell and atoms, written as CIF:
```
data_Ir3RuRh4
_symmetry_space_group_name_H-M 'I m m m'
_symmetry_Int_Tables_number 71
_symmetry_space_group_name_Hall '-I 2 2'
_cell_length_a 2.707
_cell_length_b 4.258
_cell_length_c 21.734
_cell_angle_alpha 90.00
_cell_angle_beta 90.00
_cell_angle_gamma 90.00
loop_
_atom_site_label
_atom_site_type_symbol
_atom_site_fract_x
_atom_site_fract_y
_atom_site_fract_z
Ir1 Ir 0.000 0.000 0.000
Ir2 Ir 0.000 0.000 0.164
Ru1 Ru 0.000 0.000 0.500
Rh1 Rh 0.000 0.000 0.285
Rh2 Rh 0.000 0.500 0.101
```


Which one sits at the bottom of the stability order? run x does.


Run w
Entry from the Alexandria database: a relaxed structure of Ir2Ru4Rh5 (GGA-PBE).

Values from the calculation:
ρ = 12.4 g/cm³

Cell and atoms, written as CIF:
```
data_Ir2Ru4Rh5
_symmetry_space_group_name_H-M 'C 1 2/m 1'
_symmetry_Int_Tables_number 12
_symmetry_space_group_name_Hall '-C 2y'
_cell_length_a 17.024
_cell_length_b 3.768
_cell_length_c 5.528
_cell_angle_alpha 90.00
_cell_angle_beta 99.26
_cell_angle_gamma 90.00
loop_
_atom_site_label
_atom_site_type_symbol
_atom_site_fract_x
_atom_site_fract_y
_atom_site_fract_z
Ir1 Ir 0.213 0.000 0.353
Ru1 Ru 0.000 0.500 0.212
Ru2 Ru 0.210 0.000 0.857
Rh1 Rh 0.000 0.000 0.500
Rh2 Rh 0.128 0.500 0.563
Rh3 Rh 0.133 0.500 0.066
```


Run x
Entry from the Alexandria database: a relaxed structure of Ir2Ru4Rh5 (GGA-PBE).

Values from the calculation:
ρ = 13.1 g/cm³

Cell and atoms, written as CIF:
```
data_Ir2Ru4Rh5
_symmetry_space_group_name_H-M 'P 1 m 1'
_symmetry_Int_Tables_number 6
_symmetry_space_group_name_Hall 'P -2y'
_cell_length_a 4.685
_cell_length_b 5.399
_cell_length_c 6.694
_cell_angle_alpha 90.00
_cell_angle_beta 103.35
_cell_angle_gamma 90.00
loop_
_atom_site_label
_atom_site_type_symbol
_atom_site_fract_x
_atom_site_fract_y
_atom_site_fract_z
Ir1 Ir 0.000 0.000 0.000
Ir2 Ir 0.233 0.000 0.675
Ru1 Ru 0.509 0.249 0.004
Ru2 Ru 0.726 0.262 0.668
Rh1 Rh 0.002 0.500 0.005
Rh2 Rh 0.219 0.500 0.671
Rh3 Rh 0.283 0.256 0.339
Rh4 Rh 0.785 0.000 0.341
```


Which one sits at the bottom of the stability order? run w does.


Run w
Entry from the Alexandria database: a relaxed structure of IrRu3Rh (GGA-PBE).

Values from the calculation:
ρ = 12.7 g/cm³

Cell and atoms, written as CIF:
```
data_IrRu3Rh
_symmetry_space_group_name_H-M 'I m m a'
_symmetry_Int_Tables_number 74
_symmetry_space_group_name_Hall '-I 2b 2'
_cell_length_a 4.976
_cell_length_b 7.097
_cell_length_c 8.849
_cell_angle_alpha 90.00
_cell_angle_beta 90.00
_cell_angle_gamma 90.00
loop_
_atom_site_label
_atom_site_type_symbol
_atom_site_fract_x
_atom_site_fract_y
_atom_site_fract_z
Ir1 Ir 0.000 0.000 0.000
Ru1 Ru 0.000 0.250 0.206
Ru2 Ru 0.250 0.078 0.750
Rh1 Rh 0.000 0.250 0.512
```


Run x
Entry from the Alexandria database: a relaxed structure of IrRu3Rh (GGA-PBE).

Values from the calculation:
ρ = 9.9 g/cm³

Cell and atoms, written as CIF:
```
data_IrRu3Rh
_symmetry_space_group_name_H-M 'P m -3 m'
_symmetry_Int_Tables_number 221
_symmetry_space_group_name_Hall '-P 4 2 3'
_cell_length_a 4.646
_cell_length_b 4.646
_cell_length_c 4.646
_cell_angle_alpha 90.00
_cell_angle_beta 90.00
_cell_angle_gamma 90.00
loop_
_atom_site_label
_atom_site_type_symbol
_atom_site_fract_x
_atom_site_fract_y
_atom_site_fract_z
Ir1 Ir 0.000 0.000 0.000
Ru1 Ru 0.000 0.000 0.500
Rh1 Rh 0.500 0.500 0.500
```


Run y
Entry from the Alexandria database: a relaxed structure of IrRu3Rh (GGA-PBE).

Values from the calculation:
ρ = 14.1 g/cm³

Cell and atoms, written as CIF:
```
data_IrRu3Rh
_symmetry_space_group_name_H-M 'C 1 2/m 1'
_symmetry_Int_Tables_number 12
_symmetry_space_group_name_Hall '-C 2y'
_cell_length_a 13.835
_cell_length_b 3.840
_cell_length_c 5.410
_cell_angle_alpha 90.00
_cell_angle_beta 101.37
_cell_angle_gamma 90.00
loop_
_atom_site_label
_atom_site_type_symbol
_atom_site_fract_x
_atom_site_fract_y
_atom_site_fract_z
Ir1 Ir 0.000 0.000 0.247
Ru1 Ru 0.100 0.500 0.051
Ru2 Ru 0.201 0.000 0.349
Ru3 Ru 0.203 0.000 0.852
Rh1 Rh 0.102 0.500 0.551
```


Which one sits at the bottom of the stability order? run x does.


Run w
Entry from the Alexandria database: a relaxed structure of Ir4Ru2Rh (GGA-PBE).

Values from the calculation:
ρ = 16.0 g/cm³

Cell and atoms, written as CIF:
```
data_Ir4Ru2Rh
_symmetry_space_group_name_H-M 'P 42/m n m'
_symmetry_Int_Tables_number 136
_symmetry_space_group_name_Hall '-P 4n 2n'
_cell_length_a 7.501
_cell_length_b 7.501
_cell_length_c 3.954
_cell_angle_alpha 90.00
_cell_angle_beta 90.00
_cell_angle_gamma 90.00
loop_
_atom_site_label
_atom_site_type_symbol
_atom_site_fract_x
_atom_site_fract_y
_atom_site_fract_z
Ir1 Ir 0.113 0.361 0.000
Ru1 Ru 0.174 0.826 0.000
Rh1 Rh 0.000 0.000 0.500
```


Run x
Entry from the Alexandria database: a relaxed structure of Ir4Ru2Rh (GGA-PBE).

Values from the calculation:
ρ = 15.8 g/cm³

Cell and atoms, written as CIF:
```
data_Ir4Ru2Rh
_symmetry_space_group_name_H-M 'C 1 2/m 1'
_symmetry_Int_Tables_number 12
_symmetry_space_group_name_Hall '-C 2y'
_cell_length_a 9.779
_cell_length_b 2.712
_cell_length_c 8.993
_cell_angle_alpha 90.00
_cell_angle_beta 108.48
_cell_angle_gamma 90.00
loop_
_atom_site_label
_atom_site_type_symbol
_atom_site_fract_x
_atom_site_fract_y
_atom_site_fract_z
Ir1 Ir 0.045 0.000 0.225
Ir2 Ir 0.177 0.500 0.738
Ru1 Ru 0.139 0.500 0.019
Rh1 Rh 0.000 0.000 0.500
```


Which one sits at the bottom of the stability order? run w does.